No. 1
Below is crystalline AgMo2Br at its relaxed geometry, with properties calculated at the GGA-PBE level.

## Properties
E above lowest polymorph: 701 meV/atom
Spin magnetization: 0.0 μB/cell
Volume: 152 Å³/cell
Formation energy (no corrections): 1.020 eV/atom

abc: 3.8531 3.8531 10.5917
angles: 79.52 79.52 90.00
Element x y z (fractional)
1 Ag 0.7500 0.2500 0.5000
2 Ag 0.0000 0.0000 0.0000
3 Br 0.2500 0.7500 0.5000
4 Br 0.5000 0.5000 0.0000
5 Mo 0.1628 0.6250 0.2500
6 Mo 0.5872 0.1250 0.2500
7 Mo 0.8750 0.8372 0.7500
8 Mo 0.3750 0.4128 0.7500

No. 2
Below is crystalline AgMo2Br at its relaxed geometry, with properties calculated at the GGA-PBE level.

## Properties
E above lowest polymorph: 749 meV/atom
Spin magnetization: 0.0 μB/cell
Volume: 70 Å³/cell
Formation energy (no corrections): 1.068 eV/atom

abc: 4.6308 4.6308 4.6308
angles: 60.00 60.00 60.00
Element x y z (fractional)
1 Br 0.7500 0.7500 0.7500
2 Mo 0.2500 0.2500 0.2500
3 Mo 0.0000 0.0000 0.0000
4 Ag 0.5000 0.5000 0.5000

No. 3
Below is crystalline AgMo2Br at its relaxed geometry, with properties calculated at the GGA-PBE level.

## Properties
E above lowest polymorph: 579 meV/atom
Spin magnetization: 0.0 μB/cell
Volume: 70 Å³/cell
Formation energy (no corrections): 0.898 eV/atom

abc: 5.6690 5.6690 5.6690
angles: 148.69 131.63 58.75
Element x y z (fractional)
1 Mo 0.5189 0.5189 0.0000
2 Mo 0.9811 0.9811 0.0000
3 Br 0.7500 0.2500 0.5000
4 Ag 0.2500 0.7500 0.5000

No. 4
Below is crystalline Ag2MoBr at its relaxed geometry, with properties calculated at the GGA-PBE level.

## Properties
E above lowest polymorph: 215 meV/atom
Spin magnetization: 0.0 μB/cell
Volume: 78 Å³/cell
Formation energy (no corrections): 0.538 eV/atom

abc: 2.8937 2.8937 9.3097
angles: 90.00 90.00 90.00
Element x y z (fractional)
1 Ag 0.0000 0.0000 0.5257
2 Ag 0.0000 0.0000 0.9743
3 Mo 0.5000 0.5000 0.7500
4 Br 0.5000 0.5000 0.2500